[1]
A plane-wave DFT calculation with PBE was carried out for a relaxed structure of Ba2SrIn.

```
Ba2SrIn
1.0
-12.0662 4.5057 -0.0404
-12.4636 1.3897 2.9365
-11.0068 5.3012 4.0796
Ba In Sr
2 1 1
direct
0.0021 0.0021 0.0021
0.2332 0.2332 0.2332
0.4980 0.4980 0.4980
0.7667 0.7667 0.7667
```

Summary:
The value obtained for the total magnetization is 0.00 μB per formula unit. The formation energy is -102.7 meV/atom. The density of states at the Fermi level is 4.4 states/eV/f.u.

[2]
A plane-wave DFT calculation with PBE was carried out for a relaxed structure of BaSrIn.

```
BaSrIn
1.0
-1.1269 5.0163 -2.8400
-2.4993 -1.0499 5.2106
5.3022 -0.9136 2.3623
Ba Sr In
1 1 1
direct
0.9445 0.9722 0.9167
0.9444 0.4723 0.4166
0.4444 0.2222 0.6666
```

Summary:
The value obtained for the total magnetization is 0.00 μB per formula unit. The formation energy is -223.1 meV/atom. The density of states at the Fermi level is 4.3 states/eV/f.u.

[3]
A plane-wave DFT calculation with PBE was carried out for a relaxed structure of BaSr5In3.

```
BaSr5In3
1.0
-6.5097 1.2591 3.9862
-3.1989 -9.4999 -2.2234
5.5249 1.7027 8.4848
Ba Sr In
2 10 6
direct
0.0000 0.0000 0.0000
0.5000 0.0000 0.0000
0.0000 0.6667 0.3333
0.5000 0.3333 0.6667
0.0000 0.3333 0.6667
0.5000 0.6667 0.3333
0.7500 0.6640 0.6640
0.7500 0.0000 0.3360
0.7500 0.3360 0.0000
0.2500 0.3360 0.3360
0.2500 0.0000 0.6640
0.2500 0.6640 0.0000
0.7500 0.3357 0.3357
0.7500 0.0000 0.6642
0.7500 0.6642 0.0000
0.2500 0.6643 0.6643
0.2500 0.0000 0.3358
0.2500 0.3358 0.0000
```

Summary:
The value obtained for the total magnetization is 0.00 μB per formula unit. The formation energy is -276.3 meV/atom. The density of states at the Fermi level is 15.7 states/eV/f.u.